This record from Alexandria via LeMat-Bulk describes AgBiSe2 at its PBEsol-relaxed geometry. The functional is meta-GGA SCAN.

extended XYZ file:
```
4
Lattice="-3.1560 -1.8677 0.2689 -1.5992 -1.3524 -3.0223 2.9036 -8.5204 0.0395" Properties=species:S:1:pos:R:3 pbc="T T T"
Bi 0.0000 0.0000 0.0000
Ag -0.9258 -5.8702 -1.3569
Se -3.2896 -5.6515 -2.4409
Se 1.4381 -6.0890 -0.2730
```

SG: R-3m (166)
ΔE_f (raw): 121 meV/atom



This record from Alexandria via LeMat-Bulk describes Si2AgBi2 at its PBEsol-relaxed geometry. The functional is meta-GGA SCAN.

extended XYZ file:
```
10
Lattice="5.7083 0.0000 0.0000 0.0000 6.3815 0.0000 0.0000 0.0000 6.3815" Properties=species:S:1:pos:R:3 pbc="T T T"
Bi 2.8542 5.1606 4.4117
Bi 2.8542 1.2209 1.9699
Bi 2.8542 4.4117 1.2209
Bi 2.8542 1.9699 5.1606
Si 0.0000 4.0326 0.8418
Si 0.0000 5.5397 4.0326
Si 0.0000 2.3490 5.5397
Si 0.0000 0.8418 2.3490
Ag 0.0000 0.0000 0.0000
Ag 0.0000 3.1908 3.1908
```

SG: P4/mbm (127)
ΔE_f (raw): 354 meV/atom



This record from Alexandria via LeMat-Bulk describes SiAgBi2 at its PBEsol-relaxed geometry. The functional is meta-GGA SCAN.

extended XYZ file:
```
8
Lattice="6.4826 0.0000 0.0000 0.0000 6.4826 0.0000 -3.2413 -3.2413 5.9419" Properties=species:S:1:pos:R:3 pbc="T T T"
Bi 1.6732 4.8620 1.4855
Bi 1.6207 1.5681 4.4564
Bi 4.8094 1.6207 1.4855
Bi -1.6207 -1.5681 4.4564
Si 3.2413 0.0000 2.9709
Si 3.2413 3.2413 0.0000
Ag 0.0000 3.2413 2.9709
Ag 0.0000 0.0000 0.0000
```

SG: I-42d (122)
ΔE_f (raw): 364 meV/atom



This record from Alexandria via LeMat-Bulk describes SiAgBi3 at its PBEsol-relaxed geometry. The functional is meta-GGA SCAN.

extended XYZ file:
```
5
Lattice="5.3296 0.0000 0.0000 0.0000 5.3296 0.0000 0.0000 0.0000 5.3296" Properties=species:S:1:pos:R:3 pbc="T T T"
Ag 2.6648 2.6648 2.6648
Bi 0.0000 2.6648 0.0000
Bi 2.6648 0.0000 0.0000
Bi 0.0000 0.0000 2.6648
Si 0.0000 0.0000 0.0000
```

SG: Pm-3m (221)
ΔE_f (raw): 862 meV/atom



This record from Alexandria via LeMat-Bulk describes SiAg2Bi at its PBEsol-relaxed geometry. The functional is meta-GGA SCAN.

extended XYZ file:
```
8
Lattice="-3.3739 -2.6514 1.5374 -0.6589 -1.6055 -4.2149 7.5823 -4.0859 2.8358" Properties=species:S:1:pos:R:3 pbc="T T T"
Si -2.0164 -2.1285 -1.3387
Si 1.0960 -4.4329 1.5173
Ag -1.0153 -3.7169 0.3422
Ag -0.2346 -3.6473 -2.2711
Ag 5.1263 -3.7338 1.4319
Ag 3.2225 -5.5878 0.8137
Bi 0.0000 0.0000 0.0000
Bi 2.4535 -3.9100 -1.3589
```

SG: I-42d (122)
ΔE_f (raw): 340 meV/atom



This record from Alexandria via LeMat-Bulk describes Si2Ag2Bi at its PBEsol-relaxed geometry. The functional is meta-GGA SCAN.

extended XYZ file:
```
5
Lattice="-1.4691 0.3314 -3.6084 -0.1892 -3.8954 -0.2807 -5.0135 1.8937 4.3336" Properties=species:S:1:pos:R:3 pbc="T T T"
Si -3.0160 -1.8919 1.0541
Si -3.6559 0.2215 -0.6097
Ag -2.1209 -1.7573 -1.4164
Ag -4.5509 0.0870 1.8608
Bi 0.0000 0.0000 0.0000
```

SG: I4/mmm (139)
ΔE_f (raw): 429 meV/atom



This record from Alexandria via LeMat-Bulk describes Ag2SnBi2 at its PBEsol-relaxed geometry. The functional is meta-GGA SCAN.

extended XYZ file:
```
5
Lattice="4.4901 0.0000 0.0000 0.0000 4.4901 0.0000 -2.2450 -2.2450 6.5185" Properties=species:S:1:pos:R:3 pbc="T T T"
Bi 0.0000 2.2450 3.2593
Bi 2.2450 0.0000 3.2593
Ag 0.0000 0.0000 5.2202
Ag 2.2450 2.2450 1.2983
Sn 0.0000 0.0000 0.0000
```

Formation enthalpy at 0 K: 1.642 eV/f.u.
SG: I4/mmm (139)



This record from Alexandria via LeMat-Bulk describes SrAgBi2 at its PBEsol-relaxed geometry. The functional is meta-GGA SCAN.

extended XYZ file:
```
4
Lattice="5.4125 0.0000 0.0000 2.7063 4.6874 0.0000 2.7063 1.5625 4.4193" Properties=species:S:1:pos:R:3 pbc="T T T"
Sr 0.0000 0.0000 0.0000
Ag 5.4125 3.1249 2.2097
Bi 8.1188 4.6874 3.3145
Bi 2.7063 1.5625 1.1048
```

Formation enthalpy at 0 K: -0.956 eV/f.u.
SG: Fm-3m (225)



This record from Alexandria via LeMat-Bulk describes SrAg2Bi2 at its PBEsol-relaxed geometry. The functional is meta-GGA SCAN.

extended XYZ file:
```
5
Lattice="4.5680 0.0000 0.0000 0.0000 4.5680 0.0000 -2.2840 -2.2840 6.6033" Properties=species:S:1:pos:R:3 pbc="T T T"
Ag 2.2840 0.0000 3.3017
Ag 0.0000 2.2840 3.3017
Bi 2.2840 2.2840 1.5645
Bi 0.0000 0.0000 5.0388
Sr 0.0000 0.0000 0.0000
```

Formation enthalpy at 0 K: -1.674 eV/f.u.
SG: I4/mmm (139)



This record from Alexandria via LeMat-Bulk describes SrZr2AgBi at its PBEsol-relaxed geometry. The functional is meta-GGA SCAN.

extended XYZ file:
```
5
Lattice="-4.8566 1.6157 -1.3664 -1.9230 -1.6411 4.8944 1.0694 4.9830 2.0910" Properties=species:S:1:pos:R:3 pbc="T T T"
Bi 0.0000 0.0000 0.0000
Zr -0.9615 -0.8205 2.4472
Zr 0.5347 2.4915 1.0455
Ag -2.4283 0.8078 -0.6832
Sr -2.8551 2.4788 2.8095
```

Formation enthalpy at 0 K: 3.152 eV/f.u.
SG: P4/mmm (123)



This record from Alexandria via LeMat-Bulk describes TcAgBi2 at its PBEsol-relaxed geometry. The functional is meta-GGA SCAN.

extended XYZ file:
```
4
Lattice="4.9090 0.0000 0.0000 2.4545 4.2513 0.0000 2.4545 1.4171 4.0082" Properties=species:S:1:pos:R:3 pbc="T T T"
Ag 4.9090 2.8342 2.0041
Tc 0.0000 0.0000 0.0000
Bi 2.4545 1.4171 1.0021
Bi 7.3635 4.2513 3.0062
```

Formation enthalpy at 0 K: 2.496 eV/f.u.
SG: Fm-3m (225)



This record from Alexandria via LeMat-Bulk describes TcAg3Bi at its PBEsol-relaxed geometry. The functional is meta-GGA SCAN.

extended XYZ file:
```
5
Lattice="-2.9357 2.9216 -2.6444 -3.7967 -1.2138 2.8738 1.0554 3.7600 2.9825" Properties=species:S:1:pos:R:3 pbc="T T T"
Ag -1.8984 -0.6069 1.4369
Ag -1.4678 1.4608 -1.3222
Ag 0.5277 1.8800 1.4913
Tc 0.0000 0.0000 0.0000
Bi -2.8385 2.7339 1.6060
```

Formation enthalpy at 0 K: 7.156 eV/f.u.
SG: Pm-3m (221)
E above lowest polymorph: 0 meV per atom



This record from Alexandria via LeMat-Bulk describes Tc3AgBi at its PBEsol-relaxed geometry. The functional is meta-GGA SCAN.

extended XYZ file:
```
5
Lattice="4.9497 0.0000 0.0000 0.0000 4.9497 0.0000 0.0000 0.0000 4.9497" Properties=species:S:1:pos:R:3 pbc="T T T"
Ag 2.4749 2.4749 2.4749
Tc 0.0000 0.0000 2.4749
Tc 0.0000 2.4749 0.0000
Tc 2.4749 0.0000 0.0000
Bi 0.0000 0.0000 0.0000
```

Formation enthalpy at 0 K: 12.118 eV/f.u.
SG: Pm-3m (221)



This record from Alexandria via LeMat-Bulk describes Tc2AgBiTe at its PBEsol-relaxed geometry. The functional is meta-GGA SCAN.

extended XYZ file:
```
5
Lattice="5.0212 0.0000 0.0000 0.0000 5.0212 0.0000 0.0000 0.0000 5.0125" Properties=species:S:1:pos:R:3 pbc="T T T"
Ag 0.0000 0.0000 0.0000
Tc 2.5106 0.0000 0.0000
Tc 0.0000 2.5106 0.0000
Te 0.0000 0.0000 2.5063
Bi 2.5106 2.5106 2.5063
```

SG: P4/mmm (123)
ΔE_f (raw): 1649 meV/atom



This record from Alexandria via LeMat-Bulk describes AgBi3Te at its PBEsol-relaxed geometry. The functional is meta-GGA SCAN.

extended XYZ file:
```
5
Lattice="5.4168 0.0000 0.0000 0.0000 5.4168 0.0000 0.0000 0.0000 5.4168" Properties=species:S:1:pos:R:3 pbc="T T T"
Te 2.7084 2.7084 2.7084
Bi 0.0000 2.7084 0.0000
Bi 0.0000 0.0000 2.7084
Bi 2.7084 0.0000 0.0000
Ag 0.0000 0.0000 0.0000
```

SG: Pm-3m (221)
ΔE_f (raw): 630 meV/atom



This record from Alexandria via LeMat-Bulk describes Tl2AgBi2 at its PBEsol-relaxed geometry. The functional is meta-GGA SCAN.

extended XYZ file:
```
10
Lattice="-3.9324 -0.6927 3.5515 3.9685 -5.3223 3.3559 3.1022 5.1070 4.4310" Properties=species:S:1:pos:R:3 pbc="T T T"
Bi 1.6786 1.0186 2.0573
Bi 4.0458 2.4775 4.9629
Bi 5.3921 -1.2339 5.7296
Bi 3.0249 -2.6928 2.8240
Tl 3.2640 0.3688 7.7063
Tl 2.3801 -3.0794 6.0550
Tl -0.1257 -1.2769 3.6321
Tl 0.7582 2.1714 5.2834
Ag 3.5353 -0.1077 3.8935
Ag 0.0000 0.0000 0.0000
```

Formation enthalpy at 0 K: 0.394 eV/f.u.
SG: P4/mbm (127)



This record from Alexandria via LeMat-Bulk describes ZnAg3Bi at its PBEsol-relaxed geometry. The functional is meta-GGA SCAN.

extended XYZ file:
```
5
Lattice="-4.6937 0.0422 -0.7853 0.7093 -1.8249 -4.3377 -0.3396 -4.3951 1.7935" Properties=species:S:1:pos:R:3 pbc="T T T"
Bi -2.1620 -3.0889 -1.6647
Ag 0.3546 -0.9125 -2.1688
Ag -2.3468 0.0211 -0.3926
Ag -0.1698 -2.1975 0.8968
Zn 0.0000 0.0000 0.0000
```

Formation enthalpy at 0 K: 2.127 eV/f.u.
SG: Pm-3m (221)



This record from Alexandria via LeMat-Bulk describes ZnAg2Bi at its PBEsol-relaxed geometry. The functional is meta-GGA SCAN.

extended XYZ file:
```
4
Lattice="-0.2774 2.2084 -4.2714 2.9397 -1.3095 -3.5836 -1.7566 -2.3529 -3.8180" Properties=species:S:1:pos:R:3 pbc="T T T"
Zn 0.0000 0.0000 0.0000
Ag 0.6793 -1.0906 -8.7547
Ag 0.2264 -0.3635 -2.9182
Bi 0.4529 -0.7271 -5.8365
```

Formation enthalpy at 0 K: 1.071 eV/f.u.
SG: Fm-3m (225)



This record from Alexandria via LeMat-Bulk describes Zr2Ag2Bi at its PBEsol-relaxed geometry. The functional is meta-GGA SCAN.

extended XYZ file:
```
5
Lattice="-1.0425 0.2107 -4.0666 3.7758 -1.5218 -1.0468 -3.7047 -5.3438 2.8452" Properties=species:S:1:pos:R:3 pbc="T T T"
Ag -1.8690 -4.7959 0.2306
Ag 0.8977 -1.8590 -2.4988
Zr 0.7189 -3.7606 -0.3791
Zr -1.6902 -2.8943 -1.8890
Bi 0.0000 0.0000 0.0000
```

Formation enthalpy at 0 K: 0.952 eV/f.u.
SG: I4/mmm (139)



This record from Alexandria via LeMat-Bulk describes ZrAg2Bi2 at its PBEsol-relaxed geometry. The functional is meta-GGA SCAN.

extended XYZ file:
```
5
Lattice="3.8095 0.0000 0.0000 0.0000 3.8095 0.0000 -1.9048 -1.9048 8.0044" Properties=species:S:1:pos:R:3 pbc="T T T"
Bi 1.9048 1.9048 1.6357
Bi 0.0000 0.0000 6.3687
Ag 1.9048 0.0000 4.0022
Ag 0.0000 1.9048 4.0022
Zr 0.0000 0.0000 0.0000
```

Formation enthalpy at 0 K: 0.122 eV/f.u.
SG: I4/mmm (139)



Electronic total energy across the listed records, respectively: -37.4044; -41.3580; -49.2718; -54.5622; -37.4925; -31.8402; -50.8345; -52.9394; -48.7685; -38.0935; -55.2726; -40.1170; -40.6016; -41.8144; -60.2415; -66.5697; -36.8138; -38.4396; -40.3519; -50.0940 eV per atom.
Ρ across the listed records, respectively: 7.7; 8.3; 7.4; 8.4; 8.5; 8.3; 9.5; 9.1; 8.7; 6.1; 12.4; 8.8; 8.4; 8.4; 9.0; 10.5; 9.2; 10.3; 8.9; 10.4 g/cm3.
DOS at the Fermi energy across the listed records, respectively: 2.897; 2.076; 1.457; 3.227; 1.452; 1.647; 2.411; 1.987; 2.223; 5.958; 2.765; 4.797; 4.132; 4.518; 5.740; 2.083; 1.502; 1.998; 4.096; 2.813 states/eV/f.u..